## V13Tc3 (PBE)

Data for V13Tc3 after structural relaxation.

```
data_V13Tc3
_chemical_formula_sum 'V26 Tc6'
_symmetry_space_group_name_H-M 'A m m 2'
_symmetry_Int_Tables_number 38
_cell_length_a 6.001
_cell_length_b 8.434
_cell_length_c 8.571
_cell_angle_alpha 90.00
_cell_angle_beta 90.00
_cell_angle_gamma 90.00
loop_
_symmetry_equiv_pos_as_xyz
'x,y,z'
'-x,-y,z'
'-x,y,z'
'x,-y,z'
'x,y+1/2,z+1/2'
'-x,-y+1/2,z+1/2'
'-x,y+1/2,z+1/2'
'x,-y+1/2,z+1/2'
loop_
_atom_site_label
_atom_site_fract_x
_atom_site_fract_y
_atom_site_fract_z
V1 0.000 0.000 0.000
V2 0.000 0.000 0.502
V3 0.000 0.249 0.250
V4 0.249 0.000 0.747
V5 0.250 0.249 0.999
V6 0.500 0.000 0.500
V7 0.500 0.248 0.248
Tc1 0.248 0.000 0.251
Tc2 0.500 0.000 0.993
```



## V8Tc (PBE)

Data for V8Tc after structural relaxation.

```
data_V8Tc
_chemical_formula_sum 'V16 Tc2'
_symmetry_space_group_name_H-M 'I 4/m m m'
_symmetry_Int_Tables_number 139
_symmetry_space_group_name_Hall '-I 4 2'
_cell_length_a 9.023
_cell_length_b 9.023
_cell_length_c 2.992
_cell_angle_alpha 90.00
_cell_angle_beta 90.00
_cell_angle_gamma 90.00
loop_
_atom_site_label
_atom_site_fract_x
_atom_site_fract_y
_atom_site_fract_z
V1 0.000 0.336 0.000
V2 0.167 0.167 0.500
Tc1 0.000 0.000 0.000
```



## V3Tc (PBE)

Data for V3Tc after structural relaxation.

```
data_V3Tc
_chemical_formula_sum 'V6 Tc2'
_symmetry_space_group_name_H-M 'I 4/m m m'
_symmetry_Int_Tables_number 139
_symmetry_space_group_name_Hall '-I 4 2'
_cell_length_a 3.514
_cell_length_b 3.514
_cell_length_c 8.997
_cell_angle_alpha 90.00
_cell_angle_beta 90.00
_cell_angle_gamma 90.00
loop_
_atom_site_label
_atom_site_fract_x
_atom_site_fract_y
_atom_site_fract_z
V1 0.000 0.000 0.000
V2 0.000 0.500 0.250
Tc1 0.000 0.000 0.500
```



The records above give, respectively, volume values of 433.8, 243.6, 111.1 Å³ per cell.
The records above give, respectively, calculated formation energy values of -0.18, -0.12, -0.05 eV per atom.